No. 1
VASP calculation (GGA-PBE) on a geometry-optimized Ta3NiRh structure.

## Properties
Volume (Å³ per cell): 107.8
E above lowest polymorph (meV/atom): 516.4
SG: Pm-3m, No. 221
Formation energy (meV/atom): 1363

a b c (Å): 4.7599 4.7599 4.7599
angles (deg): 90.00 90.00 90.00
Last column: nearest neighbours and their distance in Å.
Atoms (fractional coordinates):
1 Ni 0.5000 0.5000 0.5000  12 Ta 3.37
2 Rh 0.0000 0.0000 0.0000  6 Ta 2.38
3 Ta 0.0000 0.5000 0.0000  2 Rh 2.38
4 Ta 0.0000 0.0000 0.5000  2 Rh 2.38
5 Ta 0.5000 0.0000 0.0000  2 Rh 2.38

---

No. 2
VASP calculation (GGA-PBE) on a geometry-optimized Pm2DyPaAs5 structure.

## Properties
Volume (Å³ per cell): 281.4
SG: P4/mmm, No. 123
Formation energy (meV/atom): -588

a b c (Å): 5.0811 5.0811 10.9000
angles (deg): 90.00 90.00 90.00
Last column: nearest neighbours and their distance in Å.
Atoms (fractional coordinates):
1 Pm 0.5000 0.5000 0.2716  1 As 2.96
2 Pm 0.5000 0.5000 0.7284  1 As 2.96
3 Dy 0.0000 0.0000 0.0000  2 As 2.69
4 Pa 0.0000 0.0000 0.5000  6 As 2.54-2.76
5 As 0.0000 0.5000 0.5000  2 Pa 2.54
6 As 0.5000 0.0000 0.5000  2 Pa 2.54
7 As 0.0000 0.0000 0.7536  1 Dy 2.69, 1 Pa 2.76
8 As 0.0000 0.0000 0.2464  1 Dy 2.69, 1 Pa 2.76
9 As 0.5000 0.5000 0.0000  2 Pm 2.96

---

No. 3
VASP calculation (GGA-PBE) on a geometry-optimized NaZr2Nb structure.

## Properties
Volume (Å³ per cell): 182.6
E above lowest polymorph (meV/atom): 474.5
SG: I-42d, No. 122
Formation energy (meV/atom): 973

a b c (Å): 4.2521 4.2521 10.5353
angles (deg): 78.36 78.36 90.00
Last column: nearest neighbours and their distance in Å.
Atoms (fractional coordinates):
1 Na 0.5000 0.5000 0.0000  4 Zr 2.97, 4 Nb 3.01
2 Na 0.2500 0.7500 0.5000  4 Zr 2.97, 4 Nb 3.01
3 Nb 0.0000 0.0000 0.0000  4 Zr 2.91, 4 Na 3.01
4 Nb 0.7500 0.2500 0.5000  4 Zr 2.91, 4 Na 3.01
5 Zr 0.6424 0.1250 0.2500  4 Zr 2.90-3.11, 2 Nb 2.91, 2 Na 2.97
6 Zr 0.1076 0.6250 0.2500  4 Zr 2.90-3.11, 2 Nb 2.91, 2 Na 2.97
7 Zr 0.3750 0.3576 0.7500  4 Zr 2.90-3.11, 2 Nb 2.91, 2 Na 2.97
8 Zr 0.8750 0.8924 0.7500  4 Zr 2.90-3.11, 2 Nb 2.91, 2 Na 2.97

---

No. 4
VASP calculation (GGA-PBE) on a geometry-optimized RbW3Br structure.

## Properties
Volume (Å³ per cell): 113.9
E above lowest polymorph (meV/atom): 1644.0
SG: Pm-3m, No. 221

a b c (Å): 4.8468 4.8468 4.8468
angles (deg): 90.00 90.00 90.00
Last column: nearest neighbours and their distance in Å.
Atoms (fractional coordinates):
1 Br 0.5000 0.5000 0.5000  12 W 3.43
2 Rb 0.0000 0.0000 0.0000  6 W 2.42
3 W 0.0000 0.5000 0.0000  2 Rb 2.42
4 W 0.0000 0.0000 0.5000  2 Rb 2.42
5 W 0.5000 0.0000 0.0000  2 Rb 2.42

---

No. 5
VASP calculation (GGA-PBE) on a geometry-optimized TlSi2Pb structure.

## Properties
Volume (Å³ per cell): 103.7
E above lowest polymorph (meV/atom): 158.3
SG: Imm2, No. 44

a b c (Å): 6.6648 6.6648 6.6648
angles (deg): 147.56 138.93 53.28
Last column: nearest neighbours and their distance in Å.
Atoms (fractional coordinates):
1 Pb 0.7545 0.2545 0.5000  6 Si 3.06-3.19
2 Si 0.0723 0.0723 0.0000  2 Si 2.40
3 Si 0.1993 0.6993 0.5000  2 Si 2.40
4 Tl 0.4739 0.4739 0.0000  6 Si 3.21-3.56, 2 Pb 3.51

---

No. 6
VASP calculation (GGA-PBE) on a geometry-optimized CaAl2Ni structure.

## Properties
Volume (Å³ per cell): 73.2
SG: C2/m, No. 12
Formation energy (meV/atom): 104

a b c (Å): 5.3028 5.3028 2.9391
angles (deg): 87.79 87.79 117.39
Last column: nearest neighbours and their distance in Å.
Atoms (fractional coordinates):
1 Ni 0.0000 0.5000 0.5000  2 Ca 2.76, 2 Ni 2.94, 8 Al 2.98-3.08
2 Ca 0.5000 0.0000 0.5000  2 Ni 2.76, 2 Ca 2.94, 8 Al 2.98-3.08
3 Al 0.0000 0.0000 0.0000  4 Al 2.76-2.94, 4 Ca 2.98-3.08, 4 Ni 2.98-3.08
4 Al 0.5000 0.5000 0.0000  4 Al 2.76-2.94, 4 Ni 2.98-3.08, 4 Ca 2.98-3.08

---

no.,Fermi-level density of states (states/eV per cell),raw total energy (eV per atom),M_tot (μB per formula unit)
1,5.76,-8.38,0.000
2,4.92,-5.79,0.000
3,7.52,-6.15,0.000
4,7.18,-4.01,0.000
5,1.44,-3.88,0.000
6,2.53,-3.71,0.000